Compound: Dy2YIn9
Source: the Alexandria database
Functional: PBE
Structure: optimized geometry

Values from the calculation:
Fermi-level density of states (states/eV/atom): 0.3595
ΔE_f (meV/atom): -418.4

The structure in CIF format:
```
data_Dy2YIn9
_symmetry_space_group_name_H-M 'P 4/m m m'
_symmetry_Int_Tables_number 123
_symmetry_space_group_name_Hall '-P 4 2'
_cell_length_a 4.6399
_cell_length_b 4.6399
_cell_length_c 13.9158
_cell_angle_alpha 90.00
_cell_angle_beta 90.00
_cell_angle_gamma 90.00
loop_
_atom_site_label
_atom_site_fract_x
_atom_site_fract_y
_atom_site_fract_z
Dy1 0.0000 0.0000 0.1665
Y1 0.0000 0.0000 0.5000
In1 0.0000 0.5000 0.0000
In2 0.0000 0.5000 0.3329
In3 0.5000 0.5000 0.1666
In4 0.5000 0.5000 0.5000
```